Version A
## Ba2ReH (PBE)

Data for an optimized crystal structure of Ba2ReH.

POSCAR file:
```
Ba2ReH
1.0
7.6358 0.0000 0.0000
0.0000 7.6358 0.0000
0.0000 0.0000 7.6358
Ba Re H
8 4 4
direct
0.2500 0.2500 0.2500
0.2500 0.2500 0.7500
0.2500 0.7500 0.2500
0.2500 0.7500 0.7500
0.7500 0.2500 0.2500
0.7500 0.2500 0.7500
0.7500 0.7500 0.2500
0.7500 0.7500 0.7500
0.0000 0.0000 0.0000
0.0000 0.5000 0.5000
0.5000 0.0000 0.5000
0.5000 0.5000 0.0000
0.0000 0.0000 0.5000
0.0000 0.5000 0.0000
0.5000 0.0000 0.0000
0.5000 0.5000 0.5000
```

Calculated values
As for the space group: Fm-3m (225).


Version B
## Ba2ReH (PBE)

Data for an optimized crystal structure of Ba2ReH.

POSCAR file:
```
Ba2ReH
1.0
7.5287 0.0000 0.0000
0.0000 7.5287 0.0000
0.0000 0.0000 8.3018
Ba Re H
8 4 4
direct
0.1882 0.2500 0.1250
0.2500 0.6882 0.3750
0.2500 0.8118 0.8750
0.3118 0.2500 0.6250
0.6882 0.7500 0.6250
0.7500 0.1882 0.8750
0.7500 0.3118 0.3750
0.8118 0.7500 0.1250
0.0000 0.0000 0.5000
0.0000 0.5000 0.7500
0.5000 0.0000 0.2500
0.5000 0.5000 0.0000
0.0000 0.0000 0.0000
0.0000 0.5000 0.2500
0.5000 0.0000 0.7500
0.5000 0.5000 0.5000
```

Calculated values
As for the space group: I-42d (122).


Compare the structures above. Which one is the most stable? version B is.